Li3CoSiO5 | PBE+U | optimized geometry

Cell lengths 4.944, 5.479, 15.702 Å; angles 90.00, 90.00, 90.00 degrees
Last column: magnetic moment on the atom in μB.
Sites, in units of the cell vectors:
Li 0.999 0.165 0.092  0.01
Li 0.999 0.665 0.408  0.01
Li 0.502 0.835 0.496  0.00
Li 0.502 0.335 0.004  0.00
Li 0.504 0.825 0.305  0.01
Li 0.504 0.325 0.195  0.01
Li 0.499 0.835 0.908  0.01
Li 0.499 0.335 0.592  0.01
Li 0.002 0.165 0.504  0.00
Li 0.002 0.665 0.996  0.00
Li 0.004 0.675 0.805  0.01
Li 0.004 0.175 0.695  0.01
Co 0.999 0.673 0.200  3.03
Co 0.999 0.173 0.300  3.03
Co 0.499 0.827 0.700  3.03
Co 0.499 0.327 0.800  3.03
Si 0.008 0.666 0.599  0.00
Si 0.008 0.166 0.901  0.00
Si 0.508 0.834 0.099  0.00
Si 0.508 0.334 0.401  0.00
O 0.092 0.845 0.298  0.37
O 0.092 0.345 0.202  0.37
O 0.103 0.883 0.899  0.01
O 0.103 0.383 0.601  0.01
O 0.103 0.818 0.515  0.01
O 0.103 0.318 0.985  0.01
O 0.117 0.811 0.688  0.15
O 0.117 0.311 0.812  0.15
O 0.168 0.823 0.107  0.18
O 0.168 0.323 0.393  0.18
O 0.592 0.155 0.702  0.37
O 0.592 0.655 0.798  0.37
O 0.603 0.117 0.101  0.01
O 0.603 0.617 0.399  0.01
O 0.603 0.682 0.015  0.01
O 0.603 0.182 0.485  0.01
O 0.617 0.689 0.188  0.15
O 0.617 0.189 0.312  0.15
O 0.668 0.677 0.607  0.18
O 0.668 0.177 0.893  0.18

Final energy (eV/atom): -6.173